No. 1
DFT (PBE) results for FePtRh4 after structural relaxation.

Summary:
Relative energy among the computed polymorphs, meV/atom: 0
Magnetization, μB/f.u.: 2.00
V, Å³/atom: 14.08
Formation energy from the elements, eV per atom: -0.013

Cell: 2.7255 2.7255 11.3750 Å, 90.00 90.00 90.00°
Space group P4/mmm (No. 123)
One atom of each set of equivalent atoms:
Fe  0.0000  0.0000  0.0000
Pt  0.5000  0.5000  0.5000
Rh  0.0000  0.0000  0.3246
Rh  0.5000  0.5000  0.1561

No. 2
DFT (PBE) results for TbTmW4 after structural relaxation.

Summary:
Magnetization, μB/f.u.: 0.00
V, Å³/atom: 19.97
Formation energy from the elements, eV per atom: 0.135

Cell: 7.8255 7.8255 7.8255 Å, 90.00 90.00 90.00°
Space group F-43m (No. 216)
One atom of each set of equivalent atoms:
Tb  0.0000  0.0000  0.0000
Tm  0.2500  0.2500  0.2500
W  0.1250  0.1250  0.6250

No. 3
DFT (PBE) results for MgMnGaSiS after structural relaxation.

Summary:
Relative energy among the computed polymorphs, meV/atom: 88
Formation energy without anion corrections, meV/atom: -232
Magnetization, μB/f.u.: 1.35
V, Å³/atom: 17.92

Cell: 8.0547 3.4716 6.6247 Å, 90.00 104.73 90.00°
Space group Cm (No. 8)
One atom of each set of equivalent atoms:
Mg  0.0000  0.0000  0.0000
Mn  0.0012  0.5000  0.3821
Ga  0.2675  0.5000  0.2363
Si  0.2049  0.0000  0.4810
S  0.4512  0.0000  0.7145

No. 4
DFT (PBE) results for Ba2In4AgPt3 after structural relaxation.

Summary:
Magnetization, μB/f.u.: 0.00
V, Å³/atom: 25.66
Formation energy from the elements, eV per atom: -0.588

Cell: 4.8932 4.8932 10.7187 Å, 90.00 90.00 90.00°
Space group P-4m2 (No. 115)
One atom of each set of equivalent atoms:
Ba  0.0000  0.5000  0.2423
In  0.0000  0.0000  0.5000
In  0.0000  0.5000  0.8767
In  0.5000  0.5000  0.5000
Ag  0.5000  0.5000  0.0000
Pt  0.0000  0.0000  0.0000
Pt  0.0000  0.5000  0.6233

Please write out number 2 again, unchanged.
DFT (PBE) results for TbTmW4 after structural relaxation.

Summary:
Magnetization, μB/f.u.: 0.00
V, Å³/atom: 19.97
Formation energy from the elements, eV per atom: 0.135

Cell: 7.8255 7.8255 7.8255 Å, 90.00 90.00 90.00°
Space group F-43m (No. 216)
One atom of each set of equivalent atoms:
Tb  0.0000  0.0000  0.0000
Tm  0.2500  0.2500  0.2500
W  0.1250  0.1250  0.6250

What is the magnetization in the second record? 0.00 μB/f.u.

Look up the V of the second one. 19.97 Å³/atom

What did the first record say?
DFT (PBE) results for FePtRh4 after structural relaxation.

Summary:
Relative energy among the computed polymorphs, meV/atom: 0
Magnetization, μB/f.u.: 2.00
V, Å³/atom: 14.08
Formation energy from the elements, eV per atom: -0.013

Cell: 2.7255 2.7255 11.3750 Å, 90.00 90.00 90.00°
Space group P4/mmm (No. 123)
One atom of each set of equivalent atoms:
Fe  0.0000  0.0000  0.0000
Pt  0.5000  0.5000  0.5000
Rh  0.0000  0.0000  0.3246
Rh  0.5000  0.5000  0.1561